A geometry-optimized Mn2CoAsO6 structure. Source: Alexandria via LeMat-Bulk, functional PBE with a Hubbard U.

a b c (Å): 5.120 5.120 4.731
angles (deg): 90.00 90.00 90.00
Sites, in units of the cell vectors:
Mn 0.000 0.500 0.000
Mn 0.500 0.000 0.000
Co 0.000 0.000 0.576
As 0.500 0.500 0.623
O 0.000 0.000 0.210
O 0.259 0.259 0.747
O 0.259 0.741 0.747
O 0.500 0.500 0.259
O 0.741 0.259 0.747
O 0.741 0.741 0.747

Values from the calculation:
- calculated volume (A^3/atom) = 12.4
- total DFT energy (no corrections) (eV/atom) = -6.463
- DOS at the Fermi energy (states/eV/cell) = 1.22